1.
Density functional theory data (GGA-PBE) for a relaxed Zn2CdCu crystal.

The calculation puts the energy of formation at 0.10 eV/atom.

Geometry as CIF:
```
data_Zn2CdCu
_cell_length_a 2.8556
_cell_length_b 2.8556
_cell_length_c 27.5030
_cell_angle_alpha 90.00
_cell_angle_beta 90.00
_cell_angle_gamma 120.00
_symmetry_space_group_name_H-M 'R 3 m'
_symmetry_Int_Tables_number 160
_symmetry_space_group_name_Hall 'R 3 -2"'
loop_
_atom_site_label
_atom_site_fract_x
_atom_site_fract_y
_atom_site_fract_z
Zn1 0.0000 0.0000 0.0000
Zn2 0.0000 0.0000 0.2513
Cd1 0.0000 0.0000 0.4891
Cu1 0.0000 0.0000 0.7384
```

2.
Density functional theory data (GGA-PBE) for a relaxed K3MgTl3Cl8 crystal.

Its energy relative to the elements, uncorrected is -1.56 eV/atom.

Geometry as CIF:
```
data_K3MgTl3Cl8
_cell_length_a 8.9059
_cell_length_b 8.9059
_cell_length_c 22.1957
_cell_angle_alpha 90.00
_cell_angle_beta 90.00
_cell_angle_gamma 120.00
_symmetry_space_group_name_H-M 'R -3 m'
_symmetry_Int_Tables_number 166
_symmetry_space_group_name_Hall '-R 3 2"'
loop_
_atom_site_label
_atom_site_fract_x
_atom_site_fract_y
_atom_site_fract_z
K1 0.0000 0.5000 0.0000
Mg1 0.0000 0.0000 0.0000
Tl1 0.0000 0.5000 0.5000
Cl1 0.0000 0.0000 0.2537
Cl2 0.0590 0.5295 0.7332
```

3.
Density functional theory data (GGA-PBE) for a relaxed CsK2V crystal.

The calculation puts the energy of formation at 0.90 eV/atom.

Geometry as CIF:
```
data_CsK2V
_cell_length_a 9.455
_cell_length_b 9.455
_cell_length_c 9.455
_cell_angle_alpha 90.00
_cell_angle_beta 90.00
_cell_angle_gamma 90.00
_symmetry_space_group_name_H-M 'F m -3 m'
_symmetry_Int_Tables_number 225
_symmetry_space_group_name_Hall '-F 4 2 3'
loop_
_atom_site_label
_atom_site_fract_x
_atom_site_fract_y
_atom_site_fract_z
Cs1 0.000 0.000 0.000
K1 0.250 0.250 0.250
V1 0.000 0.000 0.500
```

4.
Density functional theory data (GGA-PBE) for a relaxed LaDy2FeN4 crystal.

Its energy relative to the elements, uncorrected is -1.15 eV/atom.

Geometry as CIF:
```
data_LaDy2FeN4
_cell_length_a 3.433
_cell_length_b 11.525
_cell_length_c 11.603
_cell_angle_alpha 90.00
_cell_angle_beta 90.00
_cell_angle_gamma 90.00
_symmetry_space_group_name_H-M 'C m c m'
_symmetry_Int_Tables_number 63
_symmetry_space_group_name_Hall '-C 2c 2'
loop_
_atom_site_label
_atom_site_fract_x
_atom_site_fract_y
_atom_site_fract_z
La1 0.000 0.113 0.250
Dy1 0.000 0.368 0.045
Fe1 0.000 0.159 0.750
N1 0.000 0.000 0.000
N2 0.000 0.266 0.628
N3 0.000 0.406 0.250
```

5.
Density functional theory data (GGA-PBE) for a relaxed AlV2Co2 crystal.

The calculation puts the energy of formation at -0.22 eV/atom.

Geometry as CIF:
```
data_AlV2Co2
_cell_length_a 6.734
_cell_length_b 6.734
_cell_length_c 2.784
_cell_angle_alpha 90.00
_cell_angle_beta 90.00
_cell_angle_gamma 90.00
_symmetry_space_group_name_H-M 'P 4/m b m'
_symmetry_Int_Tables_number 127
_symmetry_space_group_name_Hall '-P 4 2ab'
loop_
_atom_site_label
_atom_site_fract_x
_atom_site_fract_y
_atom_site_fract_z
Al1 0.000 0.000 0.000
V1 0.169 0.331 0.500
Co1 0.128 0.628 0.000
```

6.
Density functional theory data (GGA-PBE) for a relaxed K2TaSe crystal.

Its energy relative to the elements, uncorrected is 0.33 eV/atom.

Geometry as CIF:
```
data_K2TaSe
_cell_length_a 4.912
_cell_length_b 18.583
_cell_length_c 3.504
_cell_angle_alpha 90.00
_cell_angle_beta 90.00
_cell_angle_gamma 90.00
_symmetry_space_group_name_H-M 'C m m m'
_symmetry_Int_Tables_number 65
_symmetry_space_group_name_Hall '-C 2 2'
loop_
_atom_site_label
_atom_site_fract_x
_atom_site_fract_y
_atom_site_fract_z
K1 0.000 0.145 0.000
Ta1 0.000 0.500 0.500
Se1 0.000 0.000 0.500
```

7.
Density functional theory data (GGA-PBE) for a relaxed SrGa2CuF crystal.

Its energy relative to the elements, uncorrected is -0.39 eV/atom.

Geometry as CIF:
```
data_SrGa2CuF
_cell_length_a 4.667
_cell_length_b 4.667
_cell_length_c 5.073
_cell_angle_alpha 90.00
_cell_angle_beta 90.00
_cell_angle_gamma 90.00
_symmetry_space_group_name_H-M 'P 4/m m m'
_symmetry_Int_Tables_number 123
_symmetry_space_group_name_Hall '-P 4 2'
loop_
_atom_site_label
_atom_site_fract_x
_atom_site_fract_y
_atom_site_fract_z
Sr1 0.000 0.000 0.000
Ga1 0.000 0.500 0.500
Cu1 0.500 0.500 0.000
F1 0.500 0.500 0.500
```

8.
Density functional theory data (GGA-PBE) for a relaxed Sr2TiO4 crystal.

Its energy relative to the elements, uncorrected is -3.05 eV/atom.

Geometry as CIF:
```
data_Sr2TiO4
_cell_length_a 3.927
_cell_length_b 3.927
_cell_length_c 12.677
_cell_angle_alpha 90.00
_cell_angle_beta 90.00
_cell_angle_gamma 90.00
_symmetry_space_group_name_H-M 'I 4/m m m'
_symmetry_Int_Tables_number 139
_symmetry_space_group_name_Hall '-I 4 2'
loop_
_atom_site_label
_atom_site_fract_x
_atom_site_fract_y
_atom_site_fract_z
Sr1 0.000 0.000 0.145
Ti1 0.000 0.000 0.500
O1 0.000 0.000 0.342
O2 0.000 0.500 0.000
```

9.
Density functional theory data (GGA-PBE) for a relaxed NbReNi2Ir crystal.

The calculation puts the energy of formation at 1.90 eV/atom.

Geometry as CIF:
```
data_NbReNi2Ir
_cell_length_a 4.400
_cell_length_b 4.400
_cell_length_c 4.652
_cell_angle_alpha 90.00
_cell_angle_beta 90.00
_cell_angle_gamma 90.00
_symmetry_space_group_name_H-M 'P 4/m m m'
_symmetry_Int_Tables_number 123
_symmetry_space_group_name_Hall '-P 4 2'
loop_
_atom_site_label
_atom_site_fract_x
_atom_site_fract_y
_atom_site_fract_z
Nb1 0.000 0.000 0.000
Re1 0.000 0.000 0.500
Ni1 0.000 0.500 0.000
Ir1 0.500 0.500 0.500
```

10.
Density functional theory data (GGA-PBE) for a relaxed YCu2ReOs crystal.

The calculation puts the energy of formation at 1.68 eV/atom.

Geometry as CIF:
```
data_YCu2ReOs
_cell_length_a 4.666
_cell_length_b 4.666
_cell_length_c 5.105
_cell_angle_alpha 90.00
_cell_angle_beta 90.00
_cell_angle_gamma 90.00
_symmetry_space_group_name_H-M 'P 4/m m m'
_symmetry_Int_Tables_number 123
_symmetry_space_group_name_Hall '-P 4 2'
loop_
_atom_site_label
_atom_site_fract_x
_atom_site_fract_y
_atom_site_fract_z
Y1 0.000 0.000 0.000
Cu1 0.000 0.500 0.500
Re1 0.500 0.500 0.000
Os1 0.000 0.000 0.500
```

11.
Density functional theory data (GGA-PBE) for a relaxed Sc4SnS crystal.

Its energy relative to the elements, uncorrected is -0.77 eV/atom.

Geometry as CIF:
```
data_Sc4SnS
_cell_length_a 14.414
_cell_length_b 5.711
_cell_length_c 6.793
_cell_angle_alpha 90.00
_cell_angle_beta 106.22
_cell_angle_gamma 90.00
_symmetry_space_group_name_H-M 'C 1 2/c 1'
_symmetry_Int_Tables_number 15
loop_
_symmetry_equiv_pos_as_xyz
'x,y,z'
'-x,-y,-z'
'-x,y,-z+1/2'
'x,-y,z+1/2'
'x+1/2,y+1/2,z'
'-x+1/2,-y+1/2,-z'
'-x+1/2,y+1/2,-z+1/2'
'x+1/2,-y+1/2,z+1/2'
loop_
_atom_site_label
_atom_site_fract_x
_atom_site_fract_y
_atom_site_fract_z
Sc1 0.088 0.078 0.436
Sc2 0.181 0.412 0.146
Sn1 0.000 0.393 0.750
S1 0.250 0.250 0.500
```

12.
Density functional theory data (GGA-PBE) for a relaxed Y7Er2Tm crystal.

For the offset from the most stable computed form, the calculation gives 576 meV/atom. The calculation puts the energy of formation at 0.70 eV/atom.

Geometry as CIF:
```
data_Y7Er2Tm
_cell_length_a 8.779
_cell_length_b 16.054
_cell_length_c 5.575
_cell_angle_alpha 90.00
_cell_angle_beta 90.00
_cell_angle_gamma 90.00
_symmetry_space_group_name_H-M 'C m m m'
_symmetry_Int_Tables_number 65
_symmetry_space_group_name_Hall '-C 2 2'
loop_
_atom_site_label
_atom_site_fract_x
_atom_site_fract_y
_atom_site_fract_z
Y1 0.000 0.000 0.000
Y2 0.000 0.284 0.500
Y3 0.177 0.386 0.000
Er1 0.000 0.204 0.000
Tm1 0.000 0.500 0.500
```

13.
Density functional theory data (GGA-PBE) for a relaxed NbHgAsSe2 crystal.

For the offset from the most stable computed form, the calculation gives 0 meV/atom. Its energy relative to the elements, uncorrected is -0.02 eV/atom.

Geometry as CIF:
```
data_NbHgAsSe2
_cell_length_a 5.021
_cell_length_b 5.021
_cell_length_c 5.191
_cell_angle_alpha 90.00
_cell_angle_beta 90.00
_cell_angle_gamma 90.00
_symmetry_space_group_name_H-M 'P 4/m m m'
_symmetry_Int_Tables_number 123
_symmetry_space_group_name_Hall '-P 4 2'
loop_
_atom_site_label
_atom_site_fract_x
_atom_site_fract_y
_atom_site_fract_z
Nb1 0.000 0.000 0.000
Hg1 0.500 0.500 0.500
As1 0.000 0.000 0.500
Se1 0.000 0.500 0.000
```

14.
Density functional theory data (GGA-PBE) for a relaxed Ca2C crystal.

For the offset from the most stable computed form, the calculation gives 1415 meV/atom. The calculation puts the energy of formation at 1.45 eV/atom.

Geometry as CIF:
```
data_Ca2C
_cell_length_a 4.3715
_cell_length_b 4.3715
_cell_length_c 3.1140
_cell_angle_alpha 90.00
_cell_angle_beta 90.00
_cell_angle_gamma 120.00
_symmetry_space_group_name_H-M 'P 6/m m m'
_symmetry_Int_Tables_number 191
_symmetry_space_group_name_Hall '-P 6 2'
loop_
_atom_site_label
_atom_site_fract_x
_atom_site_fract_y
_atom_site_fract_z
Ca1 0.3333 0.6667 0.0000
C1 0.0000 0.0000 0.5000
```

15.
Density functional theory data (GGA-PBE) for a relaxed Na2H2Pt crystal.

The calculation puts the total energy at -3.276 eV per atom.

Geometry as CIF:
```
data_Na2H2Pt
_cell_length_a 2.989
_cell_length_b 16.734
_cell_length_c 5.450
_cell_angle_alpha 90.00
_cell_angle_beta 90.00
_cell_angle_gamma 90.00
_symmetry_space_group_name_H-M 'C m c 21'
_symmetry_Int_Tables_number 36
loop_
_symmetry_equiv_pos_as_xyz
'x,y,z'
'-x,-y,z+1/2'
'-x,y,z'
'x,-y,z+1/2'
'x+1/2,y+1/2,z'
'-x+1/2,-y+1/2,z+1/2'
'-x+1/2,y+1/2,z'
'x+1/2,-y+1/2,z+1/2'
loop_
_atom_site_label
_atom_site_fract_x
_atom_site_fract_y
_atom_site_fract_z
Na1 0.000 0.029 0.000
Na2 0.000 0.200 0.177
H1 0.000 0.154 0.765
H2 0.000 0.414 0.813
Pt1 0.000 0.374 0.107
```

16.
Density functional theory data (GGA-PBE) for a relaxed TlZnRh2 crystal.

The calculation puts the energy of formation at 0.06 eV/atom.

Geometry as CIF:
```
data_TlZnRh2
_cell_length_a 3.124
_cell_length_b 4.442
_cell_length_c 9.434
_cell_angle_alpha 90.00
_cell_angle_beta 90.00
_cell_angle_gamma 90.00
_symmetry_space_group_name_H-M 'I m m 2'
_symmetry_Int_Tables_number 44
loop_
_symmetry_equiv_pos_as_xyz
'x,y,z'
'-x,-y,z'
'-x,y,z'
'x,-y,z'
'x+1/2,y+1/2,z+1/2'
'-x+1/2,-y+1/2,z+1/2'
'-x+1/2,y+1/2,z+1/2'
'x+1/2,-y+1/2,z+1/2'
loop_
_atom_site_label
_atom_site_fract_x
_atom_site_fract_y
_atom_site_fract_z
Tl1 0.000 0.000 0.000
Zn1 0.000 0.500 0.239
Rh1 0.000 0.000 0.517
Rh2 0.000 0.500 0.762
```

17.
Density functional theory data (GGA-PBE) for a relaxed SnGe2H crystal.

For the offset from the most stable computed form, the calculation gives 0 meV/atom.

Geometry as CIF:
```
data_SnGe2H
_cell_length_a 4.922
_cell_length_b 4.922
_cell_length_c 13.123
_cell_angle_alpha 90.00
_cell_angle_beta 90.00
_cell_angle_gamma 90.00
_symmetry_space_group_name_H-M 'I -4 2 d'
_symmetry_Int_Tables_number 122
_symmetry_space_group_name_Hall 'I -4 2bw'
loop_
_atom_site_label
_atom_site_fract_x
_atom_site_fract_y
_atom_site_fract_z
Sn1 0.000 0.000 0.000
Ge1 0.110 0.250 0.625
H1 0.000 0.000 0.500
```

18.
Density functional theory data (GGA-PBE) for a relaxed CeErMgAu crystal.

The calculation puts the energy of formation at -0.29 eV/atom.

Geometry as CIF:
```
data_CeErMgAu
_cell_length_a 7.410
_cell_length_b 7.410
_cell_length_c 7.410
_cell_angle_alpha 90.00
_cell_angle_beta 90.00
_cell_angle_gamma 90.00
_symmetry_space_group_name_H-M 'F -4 3 m'
_symmetry_Int_Tables_number 216
_symmetry_space_group_name_Hall 'F -4 2 3'
loop_
_atom_site_label
_atom_site_fract_x
_atom_site_fract_y
_atom_site_fract_z
Ce1 0.000 0.000 0.000
Er1 0.000 0.000 0.500
Mg1 0.250 0.250 0.750
Au1 0.250 0.250 0.250
```

19.
Density functional theory data (GGA-PBE) for a relaxed YRuAu2 crystal.

For the offset from the most stable computed form, the calculation gives 363 meV/atom. The calculation puts the energy of formation at 0.00 eV/atom.

Geometry as CIF:
```
data_YRuAu2
_cell_length_a 4.004
_cell_length_b 4.004
_cell_length_c 20.280
_cell_angle_alpha 90.00
_cell_angle_beta 90.00
_cell_angle_gamma 90.00
_symmetry_space_group_name_H-M 'I -4 2 d'
_symmetry_Int_Tables_number 122
_symmetry_space_group_name_Hall 'I -4 2bw'
loop_
_atom_site_label
_atom_site_fract_x
_atom_site_fract_y
_atom_site_fract_z
Y1 0.000 0.000 0.000
Ru1 0.000 0.000 0.500
Au1 0.235 0.250 0.625
```

20.
Density functional theory data (GGA-PBE) for a relaxed Tm3AlPd12 crystal.

The calculation puts the energy of formation at -0.83 eV/atom.

Geometry as CIF:
```
data_Tm3AlPd12
_cell_length_a 4.075
_cell_length_b 4.075
_cell_length_c 16.003
_cell_angle_alpha 90.00
_cell_angle_beta 90.00
_cell_angle_gamma 90.00
_symmetry_space_group_name_H-M 'P 4/m m m'
_symmetry_Int_Tables_number 123
_symmetry_space_group_name_Hall '-P 4 2'
loop_
_atom_site_label
_atom_site_fract_x
_atom_site_fract_y
_atom_site_fract_z
Tm1 0.000 0.000 0.000
Tm2 0.000 0.000 0.257
Al1 0.000 0.000 0.500
Pd1 0.000 0.500 0.129
Pd2 0.000 0.500 0.387
Pd3 0.500 0.500 0.000
Pd4 0.500 0.500 0.258
Pd5 0.500 0.500 0.500
```

21.
Density functional theory data (GGA-PBE) for a relaxed BeTcP2 crystal.

The calculation puts the energy of formation at -0.02 eV/atom.

Geometry as CIF:
```
data_BeTcP2
_cell_length_a 3.156
_cell_length_b 4.311
_cell_length_c 7.154
_cell_angle_alpha 90.00
_cell_angle_beta 90.00
_cell_angle_gamma 90.00
_symmetry_space_group_name_H-M 'I m m m'
_symmetry_Int_Tables_number 71
_symmetry_space_group_name_Hall '-I 2 2'
loop_
_atom_site_label
_atom_site_fract_x
_atom_site_fract_y
_atom_site_fract_z
Be1 0.000 0.000 0.000
Tc1 0.000 0.000 0.500
P1 0.000 0.500 0.287
```

22.
Density functional theory data (GGA-PBE) for a relaxed Li3Np3PaS8 crystal.

Its energy relative to the elements, uncorrected is -1.41 eV/atom.

Geometry as CIF:
```
data_Li3Np3PaS8
_cell_length_a 7.9324
_cell_length_b 7.9324
_cell_length_c 18.3622
_cell_angle_alpha 90.00
_cell_angle_beta 90.00
_cell_angle_gamma 120.00
_symmetry_space_group_name_H-M 'R -3 m'
_symmetry_Int_Tables_number 166
_symmetry_space_group_name_Hall '-R 3 2"'
loop_
_atom_site_label
_atom_site_fract_x
_atom_site_fract_y
_atom_site_fract_z
Li1 0.0000 0.5000 0.0000
Np1 0.0000 0.5000 0.5000
Pa1 0.0000 0.0000 0.5000
S1 0.0000 0.0000 0.2493
S2 0.0085 0.5042 0.2490
```

23.
Density functional theory data (GGA-PBE) for a relaxed Na3TbF6 crystal.

Its energy relative to the elements, uncorrected is -3.25 eV/atom.

Geometry as CIF:
```
data_Na3TbF6
_cell_length_a 6.132
_cell_length_b 11.663
_cell_length_c 3.971
_cell_angle_alpha 90.00
_cell_angle_beta 90.00
_cell_angle_gamma 90.00
_symmetry_space_group_name_H-M 'P n n m'
_symmetry_Int_Tables_number 58
loop_
_symmetry_equiv_pos_as_xyz
'x,y,z'
'-x,-y,-z'
'-x,-y,z'
'x,y,-z'
'x+1/2,-y+1/2,-z+1/2'
'-x+1/2,y+1/2,z+1/2'
'-x+1/2,y+1/2,-z+1/2'
'x+1/2,-y+1/2,z+1/2'
loop_
_atom_site_label
_atom_site_fract_x
_atom_site_fract_y
_atom_site_fract_z
Na1 0.000 0.000 0.000
Na2 0.063 0.240 0.500
Tb1 0.000 0.500 0.000
F1 0.066 0.697 0.000
F2 0.165 0.561 0.500
F3 0.167 0.916 0.500
```

24.
Density functional theory data (GGA-PBE) for a relaxed InAsCl2 crystal.

For the offset from the most stable computed form, the calculation gives 352 meV/atom. Its energy relative to the elements, uncorrected is -0.13 eV/atom.

Geometry as CIF:
```
data_InAsCl2
_cell_length_a 4.555
_cell_length_b 4.555
_cell_length_c 18.694
_cell_angle_alpha 90.00
_cell_angle_beta 90.00
_cell_angle_gamma 90.00
_symmetry_space_group_name_H-M 'I -4 2 d'
_symmetry_Int_Tables_number 122
_symmetry_space_group_name_Hall 'I -4 2bw'
loop_
_atom_site_label
_atom_site_fract_x
_atom_site_fract_y
_atom_site_fract_z
In1 0.000 0.000 0.000
As1 0.000 0.000 0.500
Cl1 0.232 0.250 0.625
```